The following is a PBE calculation of a relaxed AcYP2S8 crystal, from Alexandria via LeMat-Bulk.

Cell lengths 6.007, 6.007, 9.122 Å; angles 90.00, 90.00, 120.00 degrees
Sites, in units of the cell vectors:
Ac 0.000 0.000 0.000
Y 0.000 0.000 0.500
P 0.667 0.333 0.232
P 0.333 0.667 0.768
S 0.333 0.667 0.991
S 0.333 0.326 0.293
S 0.674 0.007 0.293
S 0.667 0.333 0.009
S 0.326 0.993 0.707
S 0.667 0.674 0.707
S 0.007 0.333 0.707
S 0.993 0.667 0.293

Calculated values
- Energy relative to the elements, uncorrected: -982.8 meV per atom
- Size of the total moment: 0.000 μB/f.u.
- Space group: P-3 (147)
- N(E_F): 0.0 states/eV/cell